(1)
# PBE Cs3HgIr, optimized geometry
# ΔH_f (0 K), eV per atom: 0.4982
# DOS at the Fermi energy, states/eV/cell: 4.94
# Total DFT energy (no corrections), eV for the cell shown: -9.232
# Calculated density, g cm⁻³: 5.0
data_Cs3HgIr
_cell_length_a 6.416
_cell_length_b 6.416
_cell_length_c 6.416
_cell_angle_alpha 90.00
_cell_angle_beta 90.00
_cell_angle_gamma 90.00
_symmetry_space_group_name_H-M 'P 1'
_symmetry_Int_Tables_number 1
loop_
_symmetry_equiv_pos_as_xyz
'x,y,z'
loop_
_atom_site_label
_atom_site_fract_x
_atom_site_fract_y
_atom_site_fract_z
_atom_site_occupancy
Cs1 0.000 0.500 0.000 1
Cs2 0.000 0.000 0.500 1
Hg1 0.500 0.500 0.500 1
Ir1 0.000 0.000 0.000 1
Cs3 0.500 0.000 0.000 1

=====

(2)
# PBE Pm8Ho2Tl, optimized geometry
# ΔH_f (0 K), eV per atom: -0.0419
# DOS at the Fermi energy, states/eV/cell: 14.92
# Total DFT energy (no corrections), eV for the cell shown: -49.987
# Energy above the lowest structure with this stoichiometry, eV per formula unit: 0.00
# Calculated density, g cm⁻³: 7.9
data_Pm8Ho2Tl
_cell_length_a 5.041
_cell_length_b 8.068
_cell_length_c 9.488
_cell_angle_alpha 105.13
_cell_angle_beta 105.41
_cell_angle_gamma 90.00
_symmetry_space_group_name_H-M 'P 1'
_symmetry_Int_Tables_number 1
loop_
_symmetry_equiv_pos_as_xyz
'x,y,z'
loop_
_atom_site_label
_atom_site_fract_x
_atom_site_fract_y
_atom_site_fract_z
_atom_site_occupancy
Pm1 0.955 0.275 0.910 1
Ho1 0.224 0.634 0.449 1
Pm2 0.320 0.091 0.641 1
Pm3 0.863 0.820 0.726 1
Pm4 0.409 0.557 0.819 1
Tl1 0.500 0.000 0.000 1
Ho2 0.776 0.366 0.551 1
Pm5 0.045 0.725 0.090 1
Pm6 0.137 0.180 0.274 1
Pm7 0.591 0.443 0.181 1
Pm8 0.680 0.909 0.359 1

=====

(3)
# PBE K3Si5Au12, optimized geometry
# DOS at the Fermi energy, states/eV/cell: 32.26
# Formation energy from raw total energies, eV per formula unit: -1.432
# Total DFT energy (no corrections), eV for the cell shown: -284.673
# Calculated density, g cm⁻³: 7.7
data_K3Si5Au12
_cell_length_a 14.315
_cell_length_b 14.315
_cell_length_c 14.315
_cell_angle_alpha 109.47
_cell_angle_beta 109.47
_cell_angle_gamma 109.47
_symmetry_space_group_name_H-M 'P 1'
_symmetry_Int_Tables_number 1
loop_
_symmetry_equiv_pos_as_xyz
'x,y,z'
loop_
_atom_site_label
_atom_site_fract_x
_atom_site_fract_y
_atom_site_fract_z
_atom_site_occupancy
Au1 0.339 0.970 0.044 1
Au2 0.956 0.530 0.661 1
K1 0.750 0.875 0.625 1
Au3 0.839 0.544 0.470 1
Au4 0.044 0.470 0.339 1
Au5 0.869 0.074 0.530 1
Au6 0.839 0.295 0.869 1
Au7 0.131 0.205 0.161 1
Au8 0.470 0.044 0.839 1
K2 0.250 0.625 0.875 1
K3 0.125 0.875 0.750 1
Au9 0.574 0.530 0.369 1
Au10 0.369 0.339 0.295 1
Si1 0.500 0.000 0.500 1
Au11 0.530 0.956 0.161 1
Si2 0.375 0.250 0.125 1
Au12 0.631 0.970 0.426 1
Si3 0.750 0.125 0.875 1
Si4 0.875 0.625 0.750 1
Au13 0.970 0.631 0.926 1
Au14 0.574 0.044 0.705 1
Si5 0.000 0.000 0.000 1
Au15 0.131 0.926 0.470 1
Si6 0.625 0.875 0.250 1
Au16 0.161 0.705 0.131 1
Si7 0.000 0.500 0.000 1
K4 0.875 0.750 0.125 1
Au17 0.631 0.661 0.705 1
Au18 0.205 0.131 0.661 1
Si8 0.875 0.250 0.625 1
Si9 0.500 0.500 0.500 1
Au19 0.339 0.369 0.795 1
Si10 0.500 0.500 0.000 1
K5 0.750 0.375 0.125 1
Au20 0.369 0.030 0.574 1
Si11 0.375 0.125 0.750 1
Au21 0.956 0.426 0.795 1
Au22 0.456 0.161 0.030 1
K6 0.625 0.250 0.375 1
Au23 0.530 0.574 0.869 1
Au24 0.456 0.295 0.926 1
Au25 0.074 0.869 0.030 1
K7 0.375 0.625 0.250 1
Au26 0.044 0.574 0.205 1
K8 0.125 0.250 0.875 1
Au27 0.030 0.369 0.074 1
Au28 0.705 0.161 0.631 1
Au29 0.795 0.869 0.339 1
Au30 0.705 0.544 0.574 1
K9 0.375 0.750 0.625 1
Au31 0.869 0.795 0.839 1
Si12 0.125 0.375 0.250 1
Si13 0.500 0.000 0.000 1
Au32 0.426 0.956 0.295 1
Si14 0.000 0.500 0.500 1
Au33 0.661 0.030 0.956 1
Si15 0.250 0.375 0.625 1
Au34 0.161 0.456 0.530 1
Si16 0.750 0.625 0.375 1
Au35 0.030 0.661 0.456 1
Au36 0.795 0.926 0.956 1
Au37 0.661 0.631 0.205 1
Au38 0.295 0.456 0.426 1
K10 0.625 0.375 0.750 1
Au39 0.295 0.839 0.369 1
Au40 0.205 0.074 0.044 1
Au41 0.470 0.426 0.131 1
Au42 0.926 0.795 0.456 1
K11 0.875 0.125 0.250 1
Au43 0.970 0.339 0.544 1
Au44 0.074 0.205 0.544 1
Au45 0.544 0.839 0.970 1
Au46 0.926 0.131 0.970 1
K12 0.250 0.125 0.375 1
Au47 0.544 0.705 0.074 1
Si17 0.250 0.875 0.125 1
Si18 0.625 0.750 0.875 1
Si19 0.125 0.750 0.375 1
Si20 0.000 0.000 0.500 1
Au48 0.426 0.470 0.631 1